This record from the Alexandria database describes an optimized crystal structure of Ba2BSO. The functional is GGA-PBE.

Properties
The value obtained for the formation energy from raw total energies is -13.4 kJ/mol of formula units. As for the crystal system: tetragonal. Its mass density is 4.0 Mg/m³. The total magnetization comes out at 1.814 μB per cell. As for the total energy: -3.950 eV/atom.

Cell: 5.916 5.916 3.929 Å, 90.00 90.00 90.00°
Space group P4/mmm (No. 123)
Inequivalent atoms, fractional coordinates:
Ba 0.000 0.500 0.000 (multiplicity 2)
B 0.000 0.000 0.500 (multiplicity 1)
S 0.500 0.500 0.000 (multiplicity 1)
O 0.500 0.500 0.500 (multiplicity 1)

***

This record from the Alexandria database describes an optimized crystal structure of BaB2SbO6. The functional is GGA-PBE.

Properties
The value obtained for the formation energy from raw total energies is -2119.7 kJ/mol of formula units. As for the crystal system: monoclinic. Its mass density is 4.5 Mg/m³. The total magnetization comes out at 0.000 μB per cell. As for the total energy: -7.112 eV/atom.

Cell: 8.865 9.740 6.903 Å, 90.00 110.53 90.00°
Space group C2/c (No. 15)
Inequivalent atoms, fractional coordinates:
Ba 0.000 0.111 0.250 (multiplicity 4)
B 0.213 0.403 0.216 (multiplicity 8)
Sb 0.000 0.329 0.750 (multiplicity 4)
O 0.089 0.328 0.081 (multiplicity 8)
O 0.133 0.152 0.686 (multiplicity 8)
O 0.201 0.463 0.778 (multiplicity 8)

***

This record from the Alexandria database describes an optimized crystal structure of BaB2SbO. The functional is GGA-PBE.

Properties
The value obtained for the formation energy from raw total energies is 810.7 kJ/mol of formula units. As for the crystal system: tetragonal. Its mass density is 4.0 Mg/m³. The total magnetization comes out at 0.000 μB per cell. As for the total energy: -3.191 eV/atom.

Cell: 5.295 5.295 4.347 Å, 90.00 90.00 90.00°
Space group P4/mmm (No. 123)
Inequivalent atoms, fractional coordinates:
Ba 0.000 0.000 0.000 (multiplicity 1)
B 0.000 0.500 0.000 (multiplicity 2)
Sb 0.500 0.500 0.500 (multiplicity 1)
O 0.000 0.000 0.500 (multiplicity 1)